[1]
4
Lattice="0.000 3.360 3.360 3.360 0.000 3.360 3.360 3.360 0.000" Properties=species:S:1:pos:R:3 comment="GGA-PBE Nb2CdBr, optimized geometry" m_tot_mub_per_cell=0.0 e_form_raw_ev_per_atom=0.6539 energy_ev_per_atom=-5.03 pbc="T T T"
Cd 3.360 3.360 3.360
Nb 5.040 5.040 5.040
Nb 1.680 1.680 1.680
Br 0.000 0.000 0.000

[2]
5
Lattice="5.891 0.000 0.000 0.000 3.800 0.000 0.000 0.000 5.891" Properties=species:S:1:pos:R:3 comment="GGA-PBE NbCdBr2O, optimized geometry" m_tot_mub_per_cell=1.3 e_form_raw_ev_per_atom=-0.3005 energy_ev_per_atom=-4.16 pbc="T T T"
Br 0.000 0.000 2.945
Br 2.945 0.000 0.000
O 0.000 0.000 0.000
Nb 0.000 1.900 0.000
Cd 2.945 1.900 2.945

[3]
5
Lattice="-3.482 -3.208 2.629 2.624 -4.425 -1.925 3.242 0.035 4.338" Properties=species:S:1:pos:R:3 comment="GGA-PBE Nb2CdPbBr, optimized geometry" m_tot_mub_per_cell=5.8 e_form_raw_ev_per_atom=1.5959 energy_ev_per_atom=-3.69 pbc="T T T"
Nb 1.621 0.017 2.169
Pb 1.312 -2.213 -0.963
Nb -1.741 -1.604 1.314
Cd 0.000 0.000 0.000
Br 1.192 -3.799 2.520

[4]
5
Lattice="5.029 0.000 0.000 0.000 4.953 0.000 0.000 0.000 5.029" Properties=species:S:1:pos:R:3 comment="GGA-PBE NbCdPt2Br, optimized geometry" m_tot_mub_per_cell=0.0 e_form_raw_ev_per_atom=0.4906 energy_ev_per_atom=-4.46 pbc="T T T"
Br 0.000 2.476 0.000
Pt 0.000 0.000 2.515
Cd 2.515 2.476 2.515
Nb 0.000 0.000 0.000
Pt 2.515 0.000 0.000

[5]
10
Lattice="-0.914 -7.754 -1.143 3.899 0.549 -6.838 6.300 -4.562 -1.327" Properties=species:S:1:pos:R:3 comment="GGA-PBE Rb2NbCdBr6, optimized geometry" m_tot_mub_per_cell=3.0 e_form_raw_ev_per_atom=-1.0436 energy_ev_per_atom=-3.34 pbc="T T T"
Rb 5.846 -3.808 -6.078
Br 2.654 -1.598 -5.366
Br 2.213 -5.342 -5.917
Br 0.331 -5.607 -2.616
Nb 1.492 -3.603 -3.991
Br 0.772 -1.863 -2.064
Cd 0.000 0.000 0.000
Rb 3.439 -7.959 -3.230
Br 5.471 -7.701 -6.604
Br 3.814 -4.066 -2.704

[6]
5
Lattice="-3.727 1.763 -3.140 2.152 -2.533 -3.977 -2.939 -4.237 1.109" Properties=species:S:1:pos:R:3 comment="GGA-PBE NbCdSe2Br, optimized geometry" m_tot_mub_per_cell=2.5 e_form_raw_ev_per_atom=0.7059 energy_ev_per_atom=-3.22 pbc="T T T"
Br -1.469 -2.118 0.554
Se 1.076 -1.267 -1.988
Se -1.864 0.882 -1.570
Nb -2.257 -2.503 -3.004
Cd 0.000 0.000 0.000

[7]
5
Lattice="5.067 0.000 0.000 0.000 5.067 0.000 0.000 0.000 5.298" Properties=species:S:1:pos:R:3 comment="GGA-PBE NbCdSe2Br, optimized geometry" m_tot_mub_per_cell=0.0 e_form_raw_ev_per_atom=-0.2491 energy_ev_per_atom=-4.17 pbc="T T T"
Nb 0.000 0.000 0.000
Se 2.534 0.000 0.000
Cd 2.534 2.534 2.649
Se 0.000 2.534 0.000
Br 0.000 0.000 2.649

[8]
5
Lattice="5.465 0.000 0.000 0.000 4.829 0.000 0.000 0.000 5.465" Properties=species:S:1:pos:R:3 comment="GGA-PBE TiNbCd2Br, optimized geometry" m_tot_mub_per_cell=0.2 e_form_raw_ev_per_atom=1.0564 energy_ev_per_atom=-3.24 pbc="T T T"
Cd 0.000 0.000 2.732
Cd 2.732 0.000 0.000
Nb 0.000 0.000 0.000
Ti 2.732 2.415 2.732
Br 0.000 2.415 0.000

[9]
5
Lattice="-2.010 1.266 4.956 -1.867 -5.139 0.555 4.205 -1.308 2.039" Properties=species:S:1:pos:R:3 comment="GGA-PBE NbVCd2Br, optimized geometry" m_tot_mub_per_cell=0.5 e_form_raw_ev_per_atom=1.3391 energy_ev_per_atom=-3.20 pbc="T T T"
Cd -1.005 0.633 2.478
Br 2.102 -0.654 1.020
V 0.164 -2.590 3.775
Nb 0.000 0.000 0.000
Cd -0.934 -2.570 0.278

[10]
5
Lattice="5.257 0.000 0.000 0.000 5.593 0.000 0.000 0.000 5.257" Properties=species:S:1:pos:R:3 comment="GGA-PBE ZrNbCdBr2, optimized geometry" m_tot_mub_per_cell=3.1 e_form_raw_ev_per_atom=0.4120 energy_ev_per_atom=-4.16 pbc="T T T"
Nb 0.000 2.797 0.000
Zr 0.000 0.000 0.000
Br 2.629 0.000 0.000
Cd 2.629 2.797 2.629
Br 0.000 0.000 2.629

[11]
5
Lattice="5.206 0.000 0.000 0.000 4.969 0.000 0.000 0.000 5.206" Properties=species:S:1:pos:R:3 comment="GGA-PBE ZrNbCd2Br, optimized geometry" m_tot_mub_per_cell=1.1 e_form_raw_ev_per_atom=1.1699 energy_ev_per_atom=-3.25 pbc="T T T"
Zr 0.000 2.485 0.000
Cd 0.000 0.000 2.603
Nb 2.603 2.485 2.603
Br 0.000 0.000 0.000
Cd 2.603 0.000 0.000

[12]
4
Lattice="3.571 0.000 0.000 0.000 3.571 0.000 0.000 0.000 8.724" Properties=species:S:1:pos:R:3 comment="GGA-PBE Nd2CdBr, optimized geometry" m_tot_mub_per_cell=0.0 e_form_raw_ev_per_atom=-0.6459 energy_ev_per_atom=-3.68 pbc="T T T"
Nd 0.000 0.000 6.593
Nd 0.000 0.000 2.132
Br 1.786 1.786 4.362
Cd 1.786 1.786 0.000